# 1
Crystalline Ba2TmRe2N6 at its relaxed geometry, computed with PBE.

a b c (Å): 10.8149 6.1321 7.2554
angles (deg): 90.00 123.58 90.00
Last column: nearest neighbours and their distance in Å.
Space group C2/m (No. 12)
Unique sites:
Ba  0.2155  0.0000  0.1906 (multiplicity 4)  5 N 2.87-3.09
Tm  0.0000  0.0000  0.5000 (multiplicity 2)  6 N 2.32-2.39
Re  0.0416  0.5000  0.2048 (multiplicity 4)  3 N 1.80-1.82
N  0.0420  0.2571  0.7624 (multiplicity 8)  1 Re 1.82
N  0.2406  0.5000  0.3515 (multiplicity 4)  1 Re 1.80

Output
As for the formation energy from raw total energies: -75.6 kJ/mol of atoms. For the calculated volume, the calculation gives 401 Å³/cell. For the density of states at the Fermi level, the calculation gives 5.84 states/eV/cell. As for the total energy: -8.3439 eV/atom. As for the theoretical density: 7.5 g/cm3.

# 2
Crystalline Ba2UReN6 at its relaxed geometry, computed with PBE.

a b c (Å): 8.4341 8.4341 8.4341
angles (deg): 90.00 90.00 90.00
Last column: nearest neighbours and their distance in Å.
Space group Fm-3m (No. 225)
Unique sites:
Ba  0.2500  0.2500  0.2500 (multiplicity 8)  12 N 2.98
U  0.0000  0.0000  0.0000 (multiplicity 4)  6 N 2.20
Re  0.0000  0.0000  0.5000 (multiplicity 4)  6 N 2.01
N  0.0000  0.0000  0.2611 (multiplicity 24)  1 Re 2.01, 1 U 2.20

Output
As for the formation energy from raw total energies: -57.4 kJ/mol of atoms. For the calculated volume, the calculation gives 600 Å³/cell. For the density of states at the Fermi level, the calculation gives 23.49 states/eV/cell. As for the total energy: -8.3488 eV/atom. As for the theoretical density: 8.7 g/cm3.

# 3
Crystalline Ba2URe2N6 at its relaxed geometry, computed with PBE.

a b c (Å): 10.7021 6.1514 7.0397
angles (deg): 90.00 123.59 90.00
Last column: nearest neighbours and their distance in Å.
Space group C2/m (No. 12)
Unique sites:
Ba  0.2150  0.0000  0.1852 (multiplicity 4)  9 N 2.94-3.28
U  0.0000  0.0000  0.5000 (multiplicity 2)  6 N 2.20-2.23
Re  0.0475  0.5000  0.2002 (multiplicity 4)  3 N 1.87-1.88
N  0.0304  0.2503  0.7507 (multiplicity 8)  1 Re 1.87
N  0.2428  0.0000  0.6466 (multiplicity 4)  1 Re 1.88

Output
As for the formation energy from raw total energies: -75.2 kJ/mol of atoms. For the calculated volume, the calculation gives 386 Å³/cell. For the density of states at the Fermi level, the calculation gives 5.39 states/eV/cell. As for the total energy: -8.9597 eV/atom. As for the theoretical density: 8.3 g/cm3.

# 4
Crystalline BaY2ReN4 at its relaxed geometry, computed with PBE.

a b c (Å): 3.4959 12.4042 12.2333
angles (deg): 90.00 90.00 90.00
Last column: nearest neighbours and their distance in Å.
Space group Cmcm (No. 63)
Unique sites:
Ba  0.0000  0.0666  0.2500 (multiplicity 4)  2 N 2.83
Y  0.0000  0.3712  0.0402 (multiplicity 8)  6 N 2.32-2.57
Re  0.0000  0.1952  0.7500 (multiplicity 4)  4 N 1.88-2.03
N  0.0000  0.0000  0.0000 (multiplicity 4)  4 Y 2.42
N  0.0000  0.2555  0.6088 (multiplicity 8)  1 Re 1.88
N  0.0000  0.3874  0.2500 (multiplicity 4)  2 Re 2.03

Output
As for the formation energy from raw total energies: -93.1 kJ/mol of atoms. For the calculated volume, the calculation gives 530 Å³/cell. For the density of states at the Fermi level, the calculation gives 8.32 states/eV/cell. As for the total energy: -8.5397 eV/atom. As for the theoretical density: 7.0 g/cm3.

# 5
Crystalline Ba2YReN4 at its relaxed geometry, computed with PBE.

a b c (Å): 5.9200 12.1529 21.1455
angles (deg): 90.00 90.00 90.00
Last column: nearest neighbours and their distance in Å.
Space group Fddd (No. 70, origin choice 2)
Unique sites:
Ba  0.1250  0.1250  0.3079 (multiplicity 16)  4 N 3.05-3.32
Y  0.1250  0.1250  0.1250 (multiplicity 8)  4 N 2.29
Re  0.1250  0.1250  0.6250 (multiplicity 8)  4 N 1.86
N  0.0739  0.2838  0.8313 (multiplicity 32)  1 Re 1.86

Output
As for the formation energy from raw total energies: -36.7 kJ/mol of atoms. For the calculated volume, the calculation gives 1521 Å³/cell. For the density of states at the Fermi level, the calculation gives 39.19 states/eV/cell. As for the total energy: -7.3875 eV/atom. As for the theoretical density: 5.3 g/cm3.

# 6
Crystalline Ba2YRe2N6 at its relaxed geometry, computed with PBE.

a b c (Å): 10.8766 6.1717 7.2974
angles (deg): 90.00 123.63 90.00
Last column: nearest neighbours and their distance in Å.
Space group C2/m (No. 12)
Unique sites:
Ba  0.2151  0.0000  0.1900 (multiplicity 4)  5 N 2.86-3.07
Y  0.0000  0.0000  0.5000 (multiplicity 2)  6 N 2.36-2.43
Re  0.0393  0.5000  0.2029 (multiplicity 4)  3 N 1.80-1.82
N  0.0455  0.2590  0.7678 (multiplicity 8)  1 Re 1.82
N  0.2375  0.5000  0.3546 (multiplicity 4)  1 Re 1.80

Output
As for the formation energy from raw total energies: -73.9 kJ/mol of atoms. For the calculated volume, the calculation gives 408 Å³/cell. For the density of states at the Fermi level, the calculation gives 6.20 states/eV/cell. As for the total energy: -8.5071 eV/atom. As for the theoretical density: 6.7 g/cm3.

# 7
Crystalline BaYReN4 at its relaxed geometry, computed with PBE.

a b c (Å): 5.9532 5.9984 7.4507
angles (deg): 90.00 106.67 90.00
Last column: nearest neighbours and their distance in Å.
Space group P2_1/m (No. 11)
Unique sites:
Ba  0.2196  0.2500  0.4292 (multiplicity 2)  4 N 2.71-2.92
Y  0.2990  0.2500  0.9582 (multiplicity 2)  6 N 2.35-2.60
Re  0.2438  0.7500  0.1657 (multiplicity 2)  4 N 1.80-1.85
N  0.0482  0.7500  0.9321 (multiplicity 2)  1 Re 1.80
N  0.0526  0.7500  0.3203 (multiplicity 2)  1 Re 1.84
N  0.4472  0.5101  0.1987 (multiplicity 4)  1 Re 1.85

Output
As for the formation energy from raw total energies: -84.0 kJ/mol of atoms. For the calculated volume, the calculation gives 255 Å³/cell. For the density of states at the Fermi level, the calculation gives 0.00 states/eV/cell. As for the total energy: -8.6047 eV/atom. As for the theoretical density: 6.1 g/cm3.

# 8
Crystalline BaZrReN4 at its relaxed geometry, computed with PBE.

a b c (Å): 5.8305 5.8929 7.3526
angles (deg): 90.00 107.09 90.00
Last column: nearest neighbours and their distance in Å.
Space group P2_1/m (No. 11)
Unique sites:
Ba  0.2429  0.2500  0.4444 (multiplicity 2)  2 N 2.62-2.70
Zr  0.3290  0.2500  0.9685 (multiplicity 2)  5 N 2.17-2.35
Re  0.2104  0.7500  0.1489 (multiplicity 2)  4 N 1.78-1.93
N  0.0047  0.7500  0.9162 (multiplicity 2)  1 Re 1.78
N  0.0269  0.7500  0.3127 (multiplicity 2)  1 Re 1.83
N  0.4506  0.5162  0.1790 (multiplicity 4)  1 Re 1.93

Output
As for the formation energy from raw total energies: -66.8 kJ/mol of atoms. For the calculated volume, the calculation gives 241 Å³/cell. For the density of states at the Fermi level, the calculation gives 3.54 states/eV/cell. As for the total energy: -8.7240 eV/atom. As for the theoretical density: 6.5 g/cm3.

# 9
Crystalline Ba2ZrRe2N6 at its relaxed geometry, computed with PBE.

a b c (Å): 10.6527 6.1037 7.0620
angles (deg): 90.00 123.14 90.00
Last column: nearest neighbours and their distance in Å.
Space group C2/m (No. 12)
Unique sites:
Ba  0.2168  0.0000  0.1886 (multiplicity 4)  7 N 2.90-3.20
Zr  0.0000  0.0000  0.5000 (multiplicity 2)  6 N 2.22-2.24
Re  0.0490  0.5000  0.2077 (multiplicity 4)  3 N 1.82-1.84
N  0.0300  0.2531  0.7471 (multiplicity 8)  1 Re 1.84
N  0.2479  0.0000  0.6522 (multiplicity 4)  1 Re 1.82

Output
As for the formation energy from raw total energies: -72.2 kJ/mol of atoms. For the calculated volume, the calculation gives 384 Å³/cell. For the density of states at the Fermi level, the calculation gives 6.39 states/eV/cell. As for the total energy: -8.6796 eV/atom. As for the theoretical density: 7.1 g/cm3.

# 10
Crystalline Ba8RhN2 at its relaxed geometry, computed with PBE.

a b c (Å): 15.1695 10.1732 7.4061
angles (deg): 90.00 90.89 90.00
Last column: nearest neighbours and their distance in Å.
Space group C2/m (No. 12)
Unique sites:
Ba  0.1043  0.1909  0.2657 (multiplicity 8)  1 N 2.56
Ba  0.1565  0.5000  0.7736 (multiplicity 4)  1 N 2.44
Ba  0.1661  0.0000  0.7836 (multiplicity 4)  1 N 2.56
Rh  0.0000  0.0000  0.5000 (multiplicity 2)  6 Ba 3.06-3.26
N  0.1894  0.0000  0.1265 (multiplicity 4)  4 Ba 2.44-2.56

Output
As for the formation energy from raw total energies: -22.9 kJ/mol of atoms. For the calculated volume, the calculation gives 1143 Å³/cell. For the density of states at the Fermi level, the calculation gives 16.17 states/eV/cell. As for the total energy: -3.8178 eV/atom. As for the theoretical density: 3.6 g/cm3.

# 11
Crystalline BaRh2N at its relaxed geometry, computed with PBE.

a b c (Å): 6.1288 6.1288 9.2760
angles (deg): 90.00 90.00 90.00
Last column: nearest neighbours and their distance in Å.
Space group I4_1/amd (No. 141, origin choice 2)
Unique sites:
Ba  0.0000  0.2500  0.3750 (multiplicity 4)  12 Rh 3.62-3.80, 4 N 3.84, 4 Ba 3.84
Rh  0.0000  0.0000  0.0000 (multiplicity 8)  2 N 1.92
N  0.0000  0.2500  0.8750 (multiplicity 4)  4 Rh 1.92

Output
As for the formation energy from raw total energies: -6.5 kJ/mol of atoms. For the calculated volume, the calculation gives 348 Å³/cell. For the density of states at the Fermi level, the calculation gives 16.81 states/eV/cell. As for the total energy: -6.3049 eV/atom. As for the theoretical density: 6.8 g/cm3.

# 12
Crystalline BaRh3N at its relaxed geometry, computed with PBE.

a b c (Å): 4.3526 4.3526 4.3526
angles (deg): 90.00 90.00 90.00
Last column: nearest neighbours and their distance in Å.
Space group Pm-3m (No. 221)
Unique sites:
Ba  0.0000  0.0000  0.0000 (multiplicity 1)  12 Rh 3.08
Rh  0.0000  0.5000  0.5000 (multiplicity 3)  2 N 2.18
N  0.5000  0.5000  0.5000 (multiplicity 1)  6 Rh 2.18

Output
As for the formation energy from raw total energies: 24.0 kJ/mol of atoms. For the calculated volume, the calculation gives 82 Å³/cell. For the density of states at the Fermi level, the calculation gives 4.62 states/eV/cell. Its energy above the most stable polymorph in this dataset is 0.0 meV/atom. As for the total energy: -6.2117 eV/atom. As for the theoretical density: 9.3 g/cm3.